# 1
SmClF2 after structural relaxation. Source: the Alexandria database, functional PBE.

Calculated values
The space-group type is Cmcm, No. 63. As for the crystal system: orthorhombic.

Cell: 5.391 5.391 7.066 Å, 90.00 90.00 137.98°
Fractional coordinates of all 8 atoms:
Sm: 0.238 0.762 0.750
Sm: 0.762 0.238 0.250
Cl: 0.047 0.953 0.250
Cl: 0.953 0.047 0.750
F: 0.319 0.681 0.067
F: 0.319 0.681 0.433
F: 0.681 0.319 0.567
F: 0.681 0.319 0.933

***

# 2
SmCl6F2 after structural relaxation. Source: the Alexandria database, functional PBE.

Calculated values
The space-group type is P-1, No. 2. As for the crystal system: triclinic.

Cell: 3.611 7.978 10.428 Å, 106.05 99.25 102.38°
Fractional coordinates of all 9 atoms:
Sm: 0.000 0.000 0.000
Cl: 0.053 0.439 0.666
Cl: 0.056 0.815 0.311
Cl: 0.190 0.126 0.283
Cl: 0.810 0.874 0.717
Cl: 0.944 0.185 0.689
Cl: 0.947 0.561 0.334
F: 0.418 0.826 0.001
F: 0.582 0.174 0.999

***

# 3
Sm2ClF6 after structural relaxation. Source: the Alexandria database, functional PBE.

Calculated values
The space-group type is Immm, No. 71. As for the crystal system: orthorhombic.

Cell: 6.394 6.394 6.394 Å, 141.99 115.82 77.09°
Fractional coordinates of all 9 atoms:
Sm: 0.192 0.192 0.000
Sm: 0.808 0.808 0.000
Cl: 0.500 0.500 0.000
F: 0.017 0.699 0.319
F: 0.183 0.000 0.183
F: 0.380 0.699 0.681
F: 0.620 0.301 0.319
F: 0.817 0.000 0.817
F: 0.983 0.301 0.681

***

# 4
SnClF3 after structural relaxation. Source: the Alexandria database, functional PBE.

Calculated values
The space-group type is Pm-3m, No. 221. The calculation puts the polymorph energy (0 for the lowest one) at 0.381 eV per atom. As for the crystal system: cubic.

Cell: 4.245 4.245 4.245 Å, 90.00 90.00 90.00°
Fractional coordinates of all 5 atoms:
Sn: 0.000 0.000 0.000
Cl: 0.500 0.500 0.500
F: 0.000 0.000 0.500
F: 0.000 0.500 0.000
F: 0.500 0.000 0.000

***

# 5
SnClF after structural relaxation. Source: the Alexandria database, functional PBE.

Calculated values
The space-group type is C2/m, No. 12. The calculation puts the polymorph energy (0 for the lowest one) at 0.030 eV per atom. As for the crystal system: monoclinic.

Cell: 5.655 5.655 7.620 Å, 97.49 97.49 41.23°
Fractional coordinates of all 6 atoms:
Sn: 0.207 0.207 0.284
Sn: 0.793 0.793 0.716
Cl: 0.135 0.135 0.816
Cl: 0.865 0.865 0.184
F: 0.336 0.336 0.533
F: 0.664 0.664 0.467

***

# 6
SnClF3 after structural relaxation. Source: the Alexandria database, functional PBE.

Calculated values
The space-group type is Pm-3m, No. 221. The calculation puts the polymorph energy (0 for the lowest one) at 1.390 eV per atom. As for the crystal system: cubic.

Cell: 4.483 4.483 4.483 Å, 90.00 90.00 90.00°
Fractional coordinates of all 5 atoms:
Sn: 0.000 0.000 0.000
Cl: 0.500 0.500 0.500
F: 0.000 0.500 0.500
F: 0.500 0.000 0.500
F: 0.500 0.500 0.000

***

# 7
SnClF after structural relaxation. Source: the Alexandria database, functional PBE.

Calculated values
The space-group type is F-43m, No. 216. The calculation puts the polymorph energy (0 for the lowest one) at 0.220 eV per atom. As for the crystal system: cubic.

Cell: 4.606 4.606 4.606 Å, 60.00 60.00 60.00°
Fractional coordinates of all 3 atoms:
Sn: 0.000 0.000 0.000
Cl: 0.750 0.750 0.750
F: 0.250 0.250 0.250

***

# 8
Sn2Cl3F after structural relaxation. Source: the Alexandria database, functional PBE.

Calculated values
The space-group type is C2/m, No. 12. As for the crystal system: monoclinic.

Cell: 8.263 8.263 11.166 Å, 114.36 114.36 30.58°
Fractional coordinates of all 12 atoms:
Sn: 0.108 0.108 0.457
Sn: 0.367 0.367 0.180
Sn: 0.633 0.633 0.820
Sn: 0.892 0.892 0.543
Cl: 0.147 0.147 0.980
Cl: 0.280 0.280 0.387
Cl: 0.453 0.453 0.749
Cl: 0.547 0.547 0.251
Cl: 0.720 0.720 0.613
Cl: 0.853 0.853 0.020
F: 0.063 0.063 0.630
F: 0.937 0.937 0.370

***

# 9
SnClF3 after structural relaxation. Source: the Alexandria database, functional PBE.

Calculated values
The space-group type is R3m, No. 160. The calculation puts the polymorph energy (0 for the lowest one) at 0.098 eV per atom. As for the crystal system: trigonal.

Cell: 4.880 4.880 4.880 Å, 92.52 92.52 92.52°
Fractional coordinates of all 5 atoms:
Sn: 0.000 0.000 0.000
Cl: 0.717 0.717 0.717
F: 0.238 0.238 0.803
F: 0.238 0.803 0.238
F: 0.803 0.238 0.238

***

# 10
SnClF after structural relaxation. Source: the Alexandria database, functional PBE.

Calculated values
The space-group type is I4mm, No. 107. The calculation puts the polymorph energy (0 for the lowest one) at 0.165 eV per atom. As for the crystal system: tetragonal.

Cell: 5.573 5.573 5.573 Å, 136.49 136.49 63.22°
Fractional coordinates of all 3 atoms:
Sn: 0.000 0.000 0.000
Cl: 0.457 0.457 0.000
F: 0.790 0.790 0.000

***

# 11
Sn2Cl2F after structural relaxation. Source: the Alexandria database, functional PBE.

Calculated values
The space-group type is P4/mbm, No. 127. The calculation puts the polymorph energy (0 for the lowest one) at 0.000 eV per atom. As for the crystal system: tetragonal.

Cell: 6.996 6.996 4.797 Å, 90.00 90.00 90.00°
Fractional coordinates of all 10 atoms:
Sn: 0.182 0.318 0.000
Sn: 0.318 0.818 0.000
Sn: 0.682 0.182 0.000
Sn: 0.818 0.682 0.000
Cl: 0.178 0.678 0.500
Cl: 0.322 0.178 0.500
Cl: 0.678 0.822 0.500
Cl: 0.822 0.322 0.500
F: 0.000 0.000 0.000
F: 0.500 0.500 0.000

***

# 12
SnClF2 after structural relaxation. Source: the Alexandria database, functional PBE.

Calculated values
The space-group type is R-3m, No. 166. The calculation puts the polymorph energy (0 for the lowest one) at 0.569 eV per atom. As for the crystal system: trigonal.

Cell: 10.310 10.310 10.310 Å, 17.48 17.48 17.48°
Fractional coordinates of all 4 atoms:
Sn: 0.000 0.000 0.000
Cl: 0.500 0.500 0.500
F: 0.064 0.064 0.064
F: 0.936 0.936 0.936

***

Calculated values (eV per atom) of VASP energy for the records, taken in order: -6.081 -3.583 -5.922 -3.890 -4.205 -2.881 -4.015 -3.852 -4.173 -4.070 -3.778 -3.228.
Calculated values (states/eV/atom) of DOS at the Fermi energy for the records, taken in order: 0.000 0.618 0.031 1.207 0.000 0.395 0.000 0.000 0.000 0.000 0.278 0.410.